Computed, not measured: a relaxed structure of SmY6Tm8 at the PBE-GGA level of DFT.

abc: 8.563 8.563 8.563
angles: 63.33 63.33 63.33
Positions (direct):
Sm 0.000 0.000 0.000
Y 0.111 0.226 0.539
Y 0.226 0.539 0.111
Y 0.461 0.889 0.774
Y 0.539 0.111 0.226
Y 0.774 0.461 0.889
Y 0.889 0.774 0.461
Tm 0.110 0.743 0.720
Tm 0.257 0.280 0.890
Tm 0.280 0.890 0.257
Tm 0.424 0.424 0.424
Tm 0.576 0.576 0.576
Tm 0.720 0.110 0.743
Tm 0.743 0.720 0.110
Tm 0.890 0.257 0.280

ΔE_f: 0.1293 eV/atom
volume: 31.774 Å³ per atom
space group: R-3, No. 148
polymorph energy (0 for the lowest one): 0.000 eV per atom